1.
A plane-wave DFT calculation with GGA-PBE was carried out for K5Sb2Cl12 after structural relaxation.

Lattice parameters (Å, degrees): 9.6107 9.6107 10.1591 106.95 106.95 48.41
Positions (direct):
K  0.0000  0.0000  0.0000
K  0.2923  0.2923  0.1258
K  0.3087  0.3087  0.6765
K  0.6913  0.6913  0.3235
K  0.7077  0.7077  0.8742
Sb  0.2513  0.7487  0.5000
Sb  0.7487  0.2513  0.5000
Cl  0.0090  0.0090  0.6842
Cl  0.1047  0.5833  0.4307
Cl  0.1089  0.5986  0.9306
Cl  0.4014  0.8911  0.0694
Cl  0.4167  0.8953  0.5693
Cl  0.4934  0.4934  0.3099
Cl  0.5066  0.5066  0.6901
Cl  0.5833  0.1047  0.4307
Cl  0.5986  0.1089  0.9306
Cl  0.8911  0.4014  0.0694
Cl  0.8953  0.4167  0.5693
Cl  0.9910  0.9910  0.3158

Values from the calculation:
Space-group type: No. 12
Crystal system: monoclinic

***

2.
A plane-wave DFT calculation with GGA-PBE was carried out for K2SbCl5 after structural relaxation.

Lattice parameters (Å, degrees): 12.7611 8.8244 8.2974 90.00 90.00 90.00
Positions (direct):
K  0.1629  0.0038  0.0712
K  0.1629  0.4962  0.0712
K  0.3371  0.5038  0.5712
K  0.3371  0.9962  0.5712
K  0.6629  0.0038  0.4288
K  0.6629  0.4962  0.4288
K  0.8371  0.5038  0.9288
K  0.8371  0.9962  0.9288
Sb  0.0041  0.7500  0.4604
Sb  0.4959  0.2500  0.9604
Sb  0.5041  0.7500  0.0396
Sb  0.9959  0.2500  0.5396
Cl  0.0126  0.2500  0.9144
Cl  0.0650  0.5555  0.6690
Cl  0.0650  0.9445  0.6690
Cl  0.1828  0.2500  0.3859
Cl  0.2003  0.7500  0.3611
Cl  0.2997  0.2500  0.8611
Cl  0.3172  0.7500  0.8859
Cl  0.4350  0.0555  0.1690
Cl  0.4350  0.4445  0.1690
Cl  0.4874  0.7500  0.4144
Cl  0.5126  0.2500  0.5856
Cl  0.5650  0.5555  0.8310
Cl  0.5650  0.9445  0.8310
Cl  0.6828  0.2500  0.1141
Cl  0.7003  0.7500  0.1389
Cl  0.7997  0.2500  0.6389
Cl  0.8172  0.7500  0.6141
Cl  0.9350  0.0555  0.3310
Cl  0.9350  0.4445  0.3310
Cl  0.9874  0.7500  0.0856

Values from the calculation:
Space-group type: No. 62
Crystal system: orthorhombic

***

3.
A plane-wave DFT calculation with GGA-PBE was carried out for K3SbCl6 after structural relaxation.

Lattice parameters (Å, degrees): 7.9587 7.9587 7.9587 60.00 60.00 60.00
Positions (direct):
K  0.0000  0.0000  0.0000
K  0.2500  0.2500  0.2500
K  0.7500  0.7500  0.7500
Sb  0.5000  0.5000  0.5000
Cl  0.2642  0.2642  0.7358
Cl  0.2642  0.7358  0.2642
Cl  0.2642  0.7358  0.7358
Cl  0.7358  0.2642  0.2642
Cl  0.7358  0.2642  0.7358
Cl  0.7358  0.7358  0.2642

Values from the calculation:
Space-group type: No. 225
Crystal system: cubic

***

4.
A plane-wave DFT calculation with GGA-PBE was carried out for KSb2Cl8 after structural relaxation.

Lattice parameters (Å, degrees): 7.3401 7.3401 9.1533 96.71 96.71 55.73
Positions (direct):
K  0.0000  0.0000  0.0000
Sb  0.2559  0.2559  0.6780
Sb  0.7441  0.7441  0.3220
Cl  0.0848  0.5856  0.2115
Cl  0.1399  0.1399  0.4341
Cl  0.4144  0.9152  0.7885
Cl  0.4212  0.4212  0.8728
Cl  0.5788  0.5788  0.1272
Cl  0.5856  0.0848  0.2115
Cl  0.8601  0.8601  0.5659
Cl  0.9152  0.4144  0.7885

Values from the calculation:
Space-group type: No. 12
Crystal system: monoclinic

***

5.
A plane-wave DFT calculation with GGA-PBE was carried out for K2SbCl after structural relaxation.

Lattice parameters (Å, degrees): 3.7147 3.7417 9.7238 90.00 90.00 90.00
Positions (direct):
K  0.0000  0.0000  0.0000
K  0.5000  0.0000  0.4189
Sb  0.0000  0.5000  0.6812
Cl  0.5000  0.5000  0.1685

Values from the calculation:
Space-group type: No. 25
Crystal system: orthorhombic

***

6.
A plane-wave DFT calculation with GGA-PBE was carried out for K2SbCl after structural relaxation.

Lattice parameters (Å, degrees): 3.6207 3.6207 9.2936 90.00 90.00 90.00
Positions (direct):
K  0.0000  0.0000  0.2075
K  0.0000  0.0000  0.7925
Sb  0.5000  0.5000  0.5000
Cl  0.5000  0.5000  0.0000

Values from the calculation:
Space-group type: No. 123
Crystal system: tetragonal

***

7.
A plane-wave DFT calculation with GGA-PBE was carried out for KSbCl2 after structural relaxation.

Lattice parameters (Å, degrees): 6.0526 6.0526 6.0526 140.33 116.57 77.47
Positions (direct):
K  0.0000  0.0000  0.0000
Sb  0.5000  0.5000  0.0000
Cl  0.3022  0.8022  0.5000
Cl  0.6978  0.1978  0.5000

Values from the calculation:
Space-group type: No. 71
Crystal system: orthorhombic

***

8.
A plane-wave DFT calculation with GGA-PBE was carried out for K2SbCl5 after structural relaxation.

Lattice parameters (Å, degrees): 9.2938 12.8459 8.8935 90.00 109.57 90.00
Positions (direct):
K  0.1370  0.1310  0.1667
K  0.1370  0.3690  0.6667
K  0.3296  0.6714  0.9209
K  0.3296  0.8286  0.4209
K  0.6704  0.1714  0.5791
K  0.6704  0.3286  0.0791
K  0.8630  0.6310  0.3333
K  0.8630  0.8690  0.8333
Sb  0.3043  0.0047  0.8065
Sb  0.3043  0.4953  0.3065
Sb  0.6957  0.5047  0.6935
Sb  0.6957  0.9953  0.1935
Cl  0.0895  0.1399  0.7930
Cl  0.0895  0.3601  0.2930
Cl  0.1129  0.6144  0.1413
Cl  0.1129  0.8856  0.6413
Cl  0.2398  0.5928  0.5483
Cl  0.2398  0.9072  0.0483
Cl  0.3330  0.0735  0.5426
Cl  0.3330  0.4265  0.0426
Cl  0.4933  0.1479  0.1845
Cl  0.4933  0.3521  0.6845
Cl  0.5067  0.6479  0.3155
Cl  0.5067  0.8521  0.8155
Cl  0.6670  0.5735  0.9574
Cl  0.6670  0.9265  0.4574
Cl  0.7602  0.0928  0.9517
Cl  0.7602  0.4072  0.4517
Cl  0.8871  0.1144  0.3587
Cl  0.8871  0.3856  0.8587
Cl  0.9105  0.6399  0.7070
Cl  0.9105  0.8601  0.2070

Values from the calculation:
Space-group type: No. 14
Crystal system: monoclinic

***

| no. | raw total energy (Ha/atom) |
| --- | --- |
| 1 | -0.1188 |
| 2 | -0.1240 |
| 3 | -0.1222 |
| 4 | -0.1148 |
| 5 | -0.1107 |
| 6 | -0.1133 |
| 7 | -0.1140 |
| 8 | -0.1245 |